# 1
First-principles (PBE-GGA) data for K2AgPb after structural relaxation, as listed in Alexandria.

abc: 5.066 5.058 12.655
angles: 90.00 90.00 90.00
Space group Amm2 (No. 38)
Asymmetric unit:
K 0.000 0.000 0.000
K 0.500 0.000 0.301
Ag 0.000 0.000 0.697
Pb 0.500 0.000 0.598

* Fermi-level density of states: 3.10 states/eV per cell
* total energy: -2.24 eV/atom
* M_tot: 0.000 μB per atom
* formation enthalpy at 0 K: -0.050 eV per atom
* V: 40.5 A^3/atom

=====

# 2
First-principles (PBE-GGA) data for LaHfMnI2 after structural relaxation, as listed in Alexandria.

abc: 5.376 5.376 4.799
angles: 90.00 90.00 90.00
Space group P4/mmm (No. 123)
Asymmetric unit:
La 0.000 0.000 0.000
Hf 0.500 0.500 0.000
Mn 0.500 0.500 0.500
I 0.000 0.500 0.500

* ΔE_f (raw): 0.277 eV/atom
* Fermi-level density of states: 4.60 states/eV per cell
* total energy: -5.15 eV/atom
* M_tot: 0.435 μB per atom
* V: 27.7 A^3/atom

=====

# 3
First-principles (PBE-GGA) data for LaY2Cd3 after structural relaxation, as listed in Alexandria.

abc: 3.784 3.784 11.614
angles: 90.00 90.00 90.00
Space group P4/mmm (No. 123)
Asymmetric unit:
La 0.000 0.000 0.000
Y 0.000 0.000 0.340
Cd 0.500 0.500 0.185
Cd 0.500 0.500 0.500

* Fermi-level density of states: 6.67 states/eV per cell
* total energy: -3.77 eV/atom
* M_tot: 0.114 μB per atom
* formation enthalpy at 0 K: -0.340 eV per atom
* V: 27.7 A^3/atom

=====

# 4
First-principles (PBE-GGA) data for Ce3Ga3Ag2 after structural relaxation, as listed in Alexandria.

abc: 4.609 10.638 14.938
angles: 90.00 90.00 90.00
Space group Cmcm (No. 63)
Asymmetric unit:
Ce 0.000 0.092 0.111
Ce 0.000 0.346 0.250
Ga 0.000 0.360 0.750
Ga 0.000 0.398 0.045
Ag 0.000 0.209 0.595

* Fermi-level density of states: 62.00 states/eV per cell
* total energy: -4.47 eV/atom
* M_tot: 0.239 μB per atom
* formation enthalpy at 0 K: -0.399 eV per atom
* V: 22.9 A^3/atom

=====

# 5
First-principles (PBE-GGA) data for Rb2FeAuCl6 after structural relaxation, as listed in Alexandria.

abc: 7.803 7.803 9.094
angles: 90.00 90.00 90.00
Space group I4/mmm (No. 139)
Asymmetric unit:
Rb 0.000 0.500 0.250
Fe 0.000 0.000 0.000
Au 0.000 0.000 0.500
Cl 0.000 0.000 0.252
Cl 0.219 0.219 0.000

* ΔE_f (raw): -1.056 eV/atom
* Fermi-level density of states: 20.46 states/eV per cell
* total energy: -3.53 eV/atom
* M_tot: 0.486 μB per atom
* V: 27.7 A^3/atom

=====

# 6
First-principles (PBE-GGA) data for CaMg2CoOs after structural relaxation, as listed in Alexandria.

abc: 4.958 4.958 3.991
angles: 90.00 90.00 90.00
Space group P4/mmm (No. 123)
Asymmetric unit:
Ca 0.000 0.000 0.000
Mg 0.000 0.500 0.000
Co 0.000 0.000 0.500
Os 0.500 0.500 0.500

* Fermi-level density of states: 3.40 states/eV per cell
* total energy: -2.76 eV/atom
* M_tot: 0.000 μB per atom
* formation enthalpy at 0 K: 1.946 eV per atom
* V: 19.6 A^3/atom